# 1
A geometry-optimized UHW structure. Source: Alexandria, functional PBE-GGA.

Cell: 6.2091 6.2091 6.2091 Å, 26.67 26.67 26.67°
Sites, in units of the cell vectors:
U1 0.0000 0.0000 0.0000
H1 0.5882 0.5882 0.5882
W1 0.4863 0.4863 0.4863

# 2
A geometry-optimized CePm2ErSe4 structure. Source: Alexandria, functional PBE-GGA.

Summary:
ΔE_f (raw) in eV per atom: -1.80

Cell: 7.1983 4.1257 7.2454 Å, 90.00 109.06 90.00°
Sites, in units of the cell vectors:
Ce1 0.0000 0.0000 0.0000
Pm1 0.5000 0.0000 0.5000
Pm2 0.5000 0.5000 0.0000
Er1 0.0000 0.5000 0.5000
Se1 0.2397 0.0000 0.7399
Se2 0.2451 0.5000 0.2553
Se3 0.7549 0.5000 0.7447
Se4 0.7603 0.0000 0.2601

# 3
A geometry-optimized Tb3Si5S12 structure. Source: Alexandria, functional PBE-GGA.

Summary:
ΔE_f (raw) in eV per atom: -0.96

Cell: 12.9390 12.9390 12.9390 Å, 109.47 109.47 109.47°
Sites, in units of the cell vectors:
Tb1 0.1250 0.2500 0.3750
Tb2 0.1250 0.3750 0.7500
Tb3 0.2500 0.3750 0.1250
Tb4 0.2500 0.8750 0.6250
Tb5 0.3750 0.1250 0.2500
Tb6 0.3750 0.7500 0.1250
Tb7 0.6250 0.2500 0.8750
Tb8 0.6250 0.8750 0.7500
Tb9 0.7500 0.1250 0.3750
Tb10 0.7500 0.6250 0.8750
Tb11 0.8750 0.6250 0.2500
Tb12 0.8750 0.7500 0.6250
Si1 0.0000 0.0000 0.0000
Si2 0.0000 0.0000 0.5000
Si3 0.0000 0.5000 0.0000
Si4 0.0000 0.5000 0.5000
Si5 0.1250 0.7500 0.8750
Si6 0.1250 0.8750 0.2500
Si7 0.2500 0.1250 0.8750
Si8 0.2500 0.6250 0.3750
Si9 0.3750 0.2500 0.6250
Si10 0.3750 0.6250 0.7500
Si11 0.5000 0.0000 0.0000
Si12 0.5000 0.0000 0.5000
Si13 0.5000 0.5000 0.0000
Si14 0.5000 0.5000 0.5000
Si15 0.6250 0.3750 0.2500
Si16 0.6250 0.7500 0.3750
Si17 0.7500 0.3750 0.6250
Si18 0.7500 0.8750 0.1250
Si19 0.8750 0.1250 0.7500
Si20 0.8750 0.2500 0.1250
S1 0.0266 0.2132 0.1238
S2 0.0266 0.3134 0.9027
S3 0.0894 0.7132 0.6866
S4 0.0894 0.8762 0.4027
S5 0.0973 0.6238 0.4106
S6 0.0973 0.9734 0.6866
S7 0.1238 0.0266 0.2132
S8 0.1238 0.5973 0.9106
S9 0.1866 0.2132 0.5894
S10 0.1866 0.4734 0.5973
S11 0.2132 0.1238 0.0266
S12 0.2132 0.5894 0.1866
S13 0.2868 0.3134 0.9106
S14 0.2868 0.4734 0.3762
S15 0.3134 0.9027 0.0266
S16 0.3134 0.9106 0.2868
S17 0.3762 0.2868 0.4734
S18 0.3762 0.5894 0.9027
S19 0.4027 0.0894 0.8762
S20 0.4027 0.8134 0.5266
S21 0.4106 0.0973 0.6238
S22 0.4106 0.8134 0.7868
S23 0.4734 0.3762 0.2868
S24 0.4734 0.5973 0.1866
S25 0.5266 0.4027 0.8134
S26 0.5266 0.6238 0.7132
S27 0.5894 0.1866 0.2132
S28 0.5894 0.9027 0.3762
S29 0.5973 0.1866 0.4734
S30 0.5973 0.9106 0.1238
S31 0.6238 0.4106 0.0973
S32 0.6238 0.7132 0.5266
S33 0.6866 0.0894 0.7132
S34 0.6866 0.0973 0.9734
S35 0.7132 0.5266 0.6238
S36 0.7132 0.6866 0.0894
S37 0.7868 0.4106 0.8134
S38 0.7868 0.8762 0.9734
S39 0.8134 0.5266 0.4027
S40 0.8134 0.7868 0.4106
S41 0.8762 0.4027 0.0894
S42 0.8762 0.9734 0.7868
S43 0.9027 0.0266 0.3134
S44 0.9027 0.3762 0.5894
S45 0.9106 0.1238 0.5973
S46 0.9106 0.2868 0.3134
S47 0.9734 0.6866 0.0973
S48 0.9734 0.7868 0.8762

# 4
A geometry-optimized HoBeAl2 structure. Source: Alexandria, functional PBE-GGA.

Summary:
ΔE_f in eV per atom: 0.25

Cell: 9.4184 9.4184 9.4184 Å, 18.50 18.50 18.50°
Sites, in units of the cell vectors:
Ho1 0.0000 0.0000 0.0000
Be1 0.5000 0.5000 0.5000
Al1 0.2359 0.2359 0.2359
Al2 0.7641 0.7641 0.7641

# 5
A geometry-optimized GaNi5Pt structure. Source: Alexandria, functional PBE-GGA.

Summary:
Energy above the lowest structure with this stoichiometry in meV per atom: 0
ΔE_f in eV per atom: -0.07

Cell: 4.3741 4.3741 5.0517 Å, 90.00 90.00 109.81°
Sites, in units of the cell vectors:
Ga1 0.0000 0.0000 0.0000
Ni1 0.0000 0.5000 0.2493
Ni2 0.0000 0.5000 0.7507
Ni3 0.5000 0.0000 0.2493
Ni4 0.5000 0.0000 0.7507
Ni5 0.5000 0.5000 0.0000
Pt1 0.5000 0.5000 0.5000

# 6
A geometry-optimized NdLuCuPd structure. Source: Alexandria, functional PBE-GGA.

Summary:
ΔE_f in eV per atom: -0.53

Cell: 4.9793 4.9793 4.9793 Å, 60.00 60.00 60.00°
Sites, in units of the cell vectors:
Nd1 0.0000 0.0000 0.0000
Lu1 0.5000 0.5000 0.5000
Cu1 0.7500 0.7500 0.7500
Pd1 0.2500 0.2500 0.2500

# 7
A geometry-optimized MgFe4As12 structure. Source: Alexandria, functional PBE-GGA.

Summary:
ΔE_f in eV per atom: -0.19

Cell: 7.2281 7.2281 7.2281 Å, 109.47 109.47 109.47°
Sites, in units of the cell vectors:
Mg1 0.0000 0.0000 0.0000
Fe1 0.0000 0.0000 0.5000
Fe2 0.0000 0.5000 0.0000
Fe3 0.5000 0.0000 0.0000
Fe4 0.5000 0.5000 0.5000
As1 0.1531 0.3402 0.4933
As2 0.1531 0.6598 0.8129
As3 0.1871 0.8469 0.3402
As4 0.3402 0.1871 0.8469
As5 0.3402 0.4933 0.1531
As6 0.4933 0.1531 0.3402
As7 0.5067 0.8469 0.6598
As8 0.6598 0.5067 0.8469
As9 0.6598 0.8129 0.1531
As10 0.8129 0.1531 0.6598
As11 0.8469 0.3402 0.1871
As12 0.8469 0.6598 0.5067

# 8
A geometry-optimized DyY3Rh4 structure. Source: Alexandria, functional PBE-GGA.

Summary:
ΔE_f in eV per atom: -0.85

Cell: 7.6913 7.6913 4.8498 Å, 108.30 108.30 36.76°
Sites, in units of the cell vectors:
Dy1 0.0000 0.0000 0.0000
Y1 0.2498 0.2498 0.2499
Y2 0.5000 0.5000 0.5000
Y3 0.7502 0.7502 0.7501
Rh1 0.1244 0.1244 0.6244
Rh2 0.3757 0.3757 0.8758
Rh3 0.6243 0.6243 0.1242
Rh4 0.8756 0.8756 0.3756

# 9
A geometry-optimized AsIrAu structure. Source: Alexandria, functional PBE-GGA.

Summary:
Energy above the lowest structure with this stoichiometry in meV per atom: 43
ΔE_f in eV per atom: 0.17

Cell: 5.4292 5.4292 5.4292 Å, 148.03 142.53 50.06°
Sites, in units of the cell vectors:
As1 0.0000 0.0000 0.0000
Ir1 0.3878 0.3878 0.0000
Au1 0.6976 0.6976 0.0000

# 10
A geometry-optimized PmSm4Y structure. Source: Alexandria, functional PBE-GGA.

Summary:
Energy above the lowest structure with this stoichiometry in meV per atom: 232
ΔE_f in eV per atom: 0.25

Cell: 6.6695 6.6695 6.6695 Å, 60.00 60.00 60.00°
Sites, in units of the cell vectors:
Pm1 0.0000 0.0000 0.0000
Sm1 0.1263 0.6246 0.6246
Sm2 0.6246 0.1263 0.6246
Sm3 0.6246 0.6246 0.1263
Sm4 0.6246 0.6246 0.6246
Y1 0.2500 0.2500 0.2500

# 11
A geometry-optimized As2RhSe structure. Source: Alexandria, functional PBE-GGA.

Summary:
ΔE_f (raw) in eV per atom: -0.12

Cell: 4.8674 3.6153 4.8872 Å, 90.00 117.87 90.00°
Sites, in units of the cell vectors:
As1 0.0000 0.0000 0.0000
As2 0.2510 0.5000 0.7381
Rh1 0.4709 0.0000 0.5279
Se1 0.6748 0.5000 0.3268

# 12
A geometry-optimized LiSb2TeN structure. Source: Alexandria, functional PBE-GGA.

Summary:
ΔE_f (raw) in eV per atom: 1.24
Energy above the lowest structure with this stoichiometry in meV per atom: 822

Cell: 4.9914 4.9914 5.0612 Å, 90.00 90.00 90.00°
Sites, in units of the cell vectors:
Li1 0.0000 0.0000 0.0000
Sb1 0.0000 0.5000 0.0000
Sb2 0.5000 0.0000 0.0000
Te1 0.0000 0.0000 0.5000
N1 0.5000 0.5000 0.5000

# 13
A geometry-optimized Pr2Sm2Sc structure. Source: Alexandria, functional PBE-GGA.

Summary:
Energy above the lowest structure with this stoichiometry in meV per atom: 0
ΔE_f in eV per atom: 0.04

Cell: 7.9875 5.0902 8.0507 Å, 90.00 90.31 90.00°
Sites, in units of the cell vectors:
Pr1 0.1481 0.2500 0.0439
Pr2 0.3388 0.2500 0.4496
Pr3 0.6612 0.7500 0.5504
Pr4 0.8519 0.7500 0.9561
Sm1 0.2443 0.7500 0.7405
Sm2 0.4434 0.7500 0.1508
Sm3 0.5566 0.2500 0.8492
Sm4 0.7557 0.2500 0.2595
Sc1 0.0475 0.7500 0.3550
Sc2 0.9525 0.2500 0.6450

# 14
A geometry-optimized Nb2NiCl structure. Source: Alexandria, functional PBE-GGA.

Summary:
ΔE_f (raw) in eV per atom: 0.59
Energy above the lowest structure with this stoichiometry in meV per atom: 356

Cell: 6.8328 6.8328 6.8328 Å, 133.07 133.07 68.55°
Sites, in units of the cell vectors:
Nb1 0.1027 0.6250 0.9777
Nb2 0.3750 0.3527 0.4777
Nb3 0.6473 0.1250 0.0223
Nb4 0.8750 0.8973 0.5223
Ni1 0.0000 0.0000 0.0000
Ni2 0.7500 0.2500 0.5000
Cl1 0.2500 0.7500 0.5000
Cl2 0.5000 0.5000 0.0000

# 15
A geometry-optimized Ca4CdRh structure. Source: Alexandria, functional PBE-GGA.

Summary:
Energy above the lowest structure with this stoichiometry in meV per atom: 866
ΔE_f in eV per atom: 0.53

Cell: 6.2457 6.2457 6.2457 Å, 60.00 60.00 60.00°
Sites, in units of the cell vectors:
Ca1 0.3759 0.3759 0.3759
Ca2 0.3759 0.3759 0.8724
Ca3 0.3759 0.8724 0.3759
Ca4 0.8724 0.3759 0.3759
Cd1 0.0000 0.0000 0.0000
Rh1 0.7500 0.7500 0.7500

# 16
A geometry-optimized K3Tm3TiS8 structure. Source: Alexandria, functional PBE-GGA.

Summary:
ΔE_f (raw) in eV per atom: -1.75

Cell: 8.7335 8.7335 8.7335 Å, 52.69 52.69 52.69°
Sites, in units of the cell vectors:
K1 0.0000 0.5000 0.5000
K2 0.5000 0.0000 0.5000
K3 0.5000 0.5000 0.0000
Tm1 0.0000 0.0000 0.5000
Tm2 0.0000 0.5000 0.0000
Tm3 0.5000 0.0000 0.0000
Ti1 0.5000 0.5000 0.5000
S1 0.2333 0.2333 0.2333
S2 0.2532 0.7170 0.7170
S3 0.2830 0.2830 0.7468
S4 0.2830 0.7468 0.2830
S5 0.7170 0.2532 0.7170
S6 0.7170 0.7170 0.2532
S7 0.7468 0.2830 0.2830
S8 0.7667 0.7667 0.7667

# 17
A geometry-optimized CsWSeN2 structure. Source: Alexandria, functional PBE-GGA.

Summary:
ΔE_f (raw) in eV per atom: 0.35
Energy above the lowest structure with this stoichiometry in meV per atom: 0

Cell: 4.1767 4.1767 5.1679 Å, 90.00 90.00 90.00°
Sites, in units of the cell vectors:
Cs1 0.0000 0.0000 0.0000
W1 0.5000 0.5000 0.5000
Se1 0.5000 0.5000 0.0000
N1 0.0000 0.5000 0.5000
N2 0.5000 0.0000 0.5000

Size of the total moment: 0.43, 0.92, 0.00, 0.00, 1.51, 0.00, 2.06, 0.00, 0.00, 0.00, 0.00, 2.55, 0.00, 0.00, 0.00, 0.00, 0.01 (μB per formula unit)
Electronic total energy: -8.824, -6.041, -5.492, -3.696, -5.497, -5.173, -5.554, -7.528, -5.426, -4.769, -5.156, -3.088, -5.021, -6.350, -2.183, -5.590, -6.436 (eV/atom)